A | # MgH3Ir2

An optimized crystal structure of MgH3Ir2 (GGA-PBE, the Alexandria database).

## Properties
- density (g/cm3) = 11.0

The structure in CIF format:
```
data_MgH3Ir2
_symmetry_space_group_name_H-M 'P 1'
_symmetry_Int_Tables_number 1
_cell_length_a 2.858
_cell_length_b 4.719
_cell_length_c 5.318
_cell_angle_alpha 65.60
_cell_angle_beta 74.43
_cell_angle_gamma 89.89
loop_
_symmetry_equiv_pos_as_xyz
'x,y,z'
loop_
_atom_site_label
_atom_site_type_symbol
_atom_site_fract_x
_atom_site_fract_y
_atom_site_fract_z
_atom_site_occupancy
Mg1 Mg 0.000 0.000 0.000 1
H1 H 0.174 0.783 0.651 1
H2 H 0.387 0.308 0.229 1
H3 H 0.758 0.296 0.489 1
Ir1 Ir 0.285 0.531 0.432 1
Ir2 Ir 0.569 0.553 0.864 1
```

B | # MgH3Ir2

An optimized crystal structure of MgH3Ir2 (GGA-PBE, the Alexandria database).

## Properties
- density (g/cm3) = 11.4

The structure in CIF format:
```
data_MgH3Ir2
_symmetry_space_group_name_H-M 'P 1'
_symmetry_Int_Tables_number 1
_cell_length_a 2.782
_cell_length_b 4.159
_cell_length_c 5.393
_cell_angle_alpha 92.77
_cell_angle_beta 104.86
_cell_angle_gamma 90.05
loop_
_symmetry_equiv_pos_as_xyz
'x,y,z'
loop_
_atom_site_label
_atom_site_type_symbol
_atom_site_fract_x
_atom_site_fract_y
_atom_site_fract_z
_atom_site_occupancy
Mg1 Mg 0.000 0.000 0.000 1
H1 H 0.044 0.505 0.083 1
H2 H 0.365 0.740 0.728 1
H3 H 0.829 0.277 0.654 1
Ir1 Ir 0.270 0.036 0.536 1
Ir2 Ir 0.649 0.532 0.294 1
```

C | # MgH3Ir2

An optimized crystal structure of MgH3Ir2 (GGA-PBE, the Alexandria database).

## Properties
- density (g/cm3) = 11.3

The structure in CIF format:
```
data_MgH3Ir2
_symmetry_space_group_name_H-M 'P 1'
_symmetry_Int_Tables_number 1
_cell_length_a 2.811
_cell_length_b 3.792
_cell_length_c 5.686
_cell_angle_alpha 90.18
_cell_angle_beta 90.13
_cell_angle_gamma 90.01
loop_
_symmetry_equiv_pos_as_xyz
'x,y,z'
loop_
_atom_site_label
_atom_site_type_symbol
_atom_site_fract_x
_atom_site_fract_y
_atom_site_fract_z
_atom_site_occupancy
Mg1 Mg 0.000 0.000 0.000 1
H1 H 0.004 0.640 0.666 1
H2 H 0.501 0.460 0.976 1
H3 H 0.504 0.127 0.685 1
Ir1 Ir 0.003 0.999 0.513 1
Ir2 Ir 0.502 0.512 0.257 1
```

Most favorable structure: A. The second most favorable one is 11 meV/atom above it.

A | # MgH3Ir2

An optimized crystal structure of MgH3Ir2 (GGA-PBE, the Alexandria database).

## Properties
- density (g/cm3) = 11.2

The structure in CIF format:
```
data_MgH3Ir2
_symmetry_space_group_name_H-M 'P 1'
_symmetry_Int_Tables_number 1
_cell_length_a 2.802
_cell_length_b 4.350
_cell_length_c 5.008
_cell_angle_alpha 90.00
_cell_angle_beta 90.29
_cell_angle_gamma 90.00
loop_
_symmetry_equiv_pos_as_xyz
'x,y,z'
loop_
_atom_site_label
_atom_site_type_symbol
_atom_site_fract_x
_atom_site_fract_y
_atom_site_fract_z
_atom_site_occupancy
Mg1 Mg 0.000 0.000 0.000 1
H1 H 0.490 0.500 0.118 1
H2 H 0.498 0.274 0.747 1
H3 H 0.498 0.726 0.747 1
Ir1 Ir 0.495 0.000 0.525 1
Ir2 Ir 0.993 0.500 0.334 1
```

B | # MgH3Ir2

An optimized crystal structure of MgH3Ir2 (GGA-PBE, the Alexandria database).

## Properties
- density (g/cm3) = 11.9

The structure in CIF format:
```
data_MgH3Ir2
_symmetry_space_group_name_H-M 'P 1'
_symmetry_Int_Tables_number 1
_cell_length_a 3.019
_cell_length_b 3.019
_cell_length_c 6.300
_cell_angle_alpha 90.00
_cell_angle_beta 90.00
_cell_angle_gamma 90.00
loop_
_symmetry_equiv_pos_as_xyz
'x,y,z'
loop_
_atom_site_label
_atom_site_type_symbol
_atom_site_fract_x
_atom_site_fract_y
_atom_site_fract_z
_atom_site_occupancy
Mg1 Mg 0.000 0.000 0.000 1
H1 H 0.000 0.500 0.704 1
H2 H 0.500 0.000 0.704 1
H3 H 0.500 0.500 0.000 1
Ir1 Ir 0.000 0.000 0.562 1
Ir2 Ir 0.500 0.500 0.258 1
```

C | # MgH3Ir2

An optimized crystal structure of MgH3Ir2 (GGA-PBE, the Alexandria database).

## Properties
- density (g/cm3) = 11.3

The structure in CIF format:
```
data_MgH3Ir2
_symmetry_space_group_name_H-M 'P 1'
_symmetry_Int_Tables_number 1
_cell_length_a 9.951
_cell_length_b 2.807
_cell_length_c 4.780
_cell_angle_alpha 90.00
_cell_angle_beta 114.94
_cell_angle_gamma 90.00
loop_
_symmetry_equiv_pos_as_xyz
'x,y,z'
loop_
_atom_site_label
_atom_site_type_symbol
_atom_site_fract_x
_atom_site_fract_y
_atom_site_fract_z
_atom_site_occupancy
Mg1 Mg 0.000 0.000 0.000 1
Mg2 Mg 0.500 0.500 0.000 1
H1 H 0.077 0.500 0.319 1
H2 H 0.349 0.000 0.241 1
H3 H 0.447 0.500 0.543 1
H4 H 0.577 0.000 0.319 1
H5 H 0.849 0.500 0.241 1
H6 H 0.947 0.000 0.543 1
Ir1 Ir 0.244 0.000 0.856 1
Ir2 Ir 0.259 0.500 0.401 1
Ir3 Ir 0.744 0.500 0.856 1
Ir4 Ir 0.759 0.000 0.401 1
```

D | # MgH3Ir2

An optimized crystal structure of MgH3Ir2 (GGA-PBE, the Alexandria database).

## Properties
- density (g/cm3) = 11.5

The structure in CIF format:
```
data_MgH3Ir2
_symmetry_space_group_name_H-M 'P 1'
_symmetry_Int_Tables_number 1
_cell_length_a 2.777
_cell_length_b 4.029
_cell_length_c 5.488
_cell_angle_alpha 94.09
_cell_angle_beta 104.47
_cell_angle_gamma 90.03
loop_
_symmetry_equiv_pos_as_xyz
'x,y,z'
loop_
_atom_site_label
_atom_site_type_symbol
_atom_site_fract_x
_atom_site_fract_y
_atom_site_fract_z
_atom_site_occupancy
Mg1 Mg 0.000 0.000 0.000 1
H1 H 0.357 0.750 0.716 1
H2 H 0.493 0.426 0.985 1
H3 H 0.829 0.288 0.662 1
Ir1 Ir 0.264 0.051 0.529 1
Ir2 Ir 0.640 0.545 0.282 1
```

Most favorable structure: B. The second most favorable one is 20 meV/atom above it.